# 1
Here is a relaxed structure of ErMg2Cd from the Alexandria database. Energies are from PBE-GGA.

Values from the calculation:
The value obtained for the total energy is -2.265 eV per atom. Its energy relative to the elements is -98.0 meV per atom. For the excess energy over the best structure of this formula in the dataset, the calculation gives 79 meV/atom.

Unit cell a=3.381 b=3.381 c=8.433 alpha=90.00 beta=90.00 gamma=90.00
Element x y z (fractional)
Er (0.000, 0.000, 0.000)
Mg (0.500, 0.500, 0.277)
Mg (0.500, 0.500, 0.723)
Cd (0.000, 0.000, 0.500)

***

# 2
Here is a relaxed structure of CaTbMgPb from the Alexandria database. Energies are from PBE-GGA.

Values from the calculation:
The value obtained for the total energy is -3.271 eV per atom. Its energy relative to the elements is -287.0 meV per atom.

Unit cell a=7.703 b=7.703 c=7.703 alpha=90.00 beta=90.00 gamma=90.00
Element x y z (fractional)
Ca (0.000, 0.000, 0.000)
Ca (0.000, 0.500, 0.500)
Ca (0.500, 0.000, 0.500)
Ca (0.500, 0.500, 0.000)
Tb (0.000, 0.000, 0.500)
Tb (0.000, 0.500, 0.000)
Tb (0.500, 0.000, 0.000)
Tb (0.500, 0.500, 0.500)
Mg (0.250, 0.250, 0.250)
Mg (0.250, 0.750, 0.750)
Mg (0.750, 0.250, 0.750)
Mg (0.750, 0.750, 0.250)
Pb (0.250, 0.250, 0.750)
Pb (0.250, 0.750, 0.250)
Pb (0.750, 0.250, 0.250)
Pb (0.750, 0.750, 0.750)

***

# 3
Here is a relaxed structure of Zn6Pt2Au from the Alexandria database. Energies are from PBE-GGA.

Values from the calculation:
The value obtained for the total energy is -2.847 eV per atom. Its energy relative to the elements is -291.4 meV per atom. For the excess energy over the best structure of this formula in the dataset, the calculation gives 41 meV/atom.

Unit cell a=7.133 b=7.133 c=4.309 alpha=107.44 beta=107.44 gamma=52.36
Element x y z (fractional)
Zn (0.056, 0.601, 0.329)
Zn (0.250, 0.750, 0.000)
Zn (0.399, 0.944, 0.671)
Zn (0.601, 0.056, 0.329)
Zn (0.750, 0.250, 0.000)
Zn (0.944, 0.399, 0.671)
Pt (0.168, 0.168, 0.168)
Pt (0.832, 0.832, 0.832)
Au (0.500, 0.500, 0.500)

***

# 4
Here is a relaxed structure of Zn2GeSe4 from the Alexandria database. Energies are from PBE-GGA.

Values from the calculation:
The value obtained for the total energy is -3.430 eV per atom. The value obtained for the energy relative to the elements, uncorrected is -2.9 eV per formula unit.

Unit cell a=6.138 b=6.138 c=5.631 alpha=90.00 beta=90.00 gamma=90.00
Element x y z (fractional)
Zn (0.000, 0.500, 0.000)
Zn (0.500, 0.000, 0.000)
Ge (0.000, 0.000, 0.000)
Se (0.230, 0.230, 0.232)
Se (0.230, 0.770, 0.768)
Se (0.770, 0.230, 0.768)
Se (0.770, 0.770, 0.232)